1.
Crystalline AcPu2Co at its relaxed geometry, computed with PBE-GGA.

Results
Energy relative to the elements in eV per atom: 0.3015
Electronic total energy in eV per atom: -9.668
ΔE to the lowest computed polymorph in meV per atom: 108
V in Å³ per cell: 357.2

The structure in CIF format:
```
data_AcPu2Co
_chemical_formula_sum 'Ac3 Pu6 Co3'
_space_group_name_H-M_alt 'R -3 m'
_space_group_IT_number 166
_space_group_name_Hall '-R 3 2"'
_cell_length_a 3.6943
_cell_length_b 3.6943
_cell_length_c 30.2217
_cell_angle_alpha 90.00
_cell_angle_beta 90.00
_cell_angle_gamma 120.00
loop_
_atom_site_label
_atom_site_type_symbol
_atom_site_fract_x
_atom_site_fract_y
_atom_site_fract_z
Ac1 Ac 0.0000 0.0000 0.0000
Pu1 Pu 0.0000 0.0000 0.1151
Co1 Co 0.0000 0.0000 0.5000
```

***

2.
Crystalline AcPuCo2 at its relaxed geometry, computed with PBE-GGA.

Results
Energy relative to the elements in eV per atom: 0.1581
Electronic total energy in eV per atom: -8.005
ΔE to the lowest computed polymorph in meV per atom: 212
V in Å³ per cell: 83.8

The structure in CIF format:
```
data_AcPuCo2
_chemical_formula_sum 'Ac1 Pu1 Co2'
_space_group_name_H-M_alt 'P 4/m m m'
_space_group_IT_number 123
_space_group_name_Hall '-P 4 2'
_cell_length_a 3.4427
_cell_length_b 3.4427
_cell_length_c 7.0730
_cell_angle_alpha 90.00
_cell_angle_beta 90.00
_cell_angle_gamma 90.00
loop_
_atom_site_label
_atom_site_type_symbol
_atom_site_fract_x
_atom_site_fract_y
_atom_site_fract_z
Ac1 Ac 0.0000 0.0000 0.0000
Pu1 Pu 0.0000 0.0000 0.5000
Co1 Co 0.5000 0.5000 0.3090
```

***

3.
Crystalline AcPuCo2 at its relaxed geometry, computed with PBE-GGA.

Results
Energy relative to the elements in eV per atom: -0.0537
Electronic total energy in eV per atom: -8.217
ΔE to the lowest computed polymorph in meV per atom: 0
V in Å³ per cell: 263.4

The structure in CIF format:
```
data_AcPuCo2
_chemical_formula_sum 'Ac3 Pu3 Co6'
_space_group_name_H-M_alt 'R -3 m'
_space_group_IT_number 166
_space_group_name_Hall '-R 3 2"'
_cell_length_a 4.2320
_cell_length_b 4.2320
_cell_length_c 16.9795
_cell_angle_alpha 90.00
_cell_angle_beta 90.00
_cell_angle_gamma 120.00
loop_
_atom_site_label
_atom_site_type_symbol
_atom_site_fract_x
_atom_site_fract_y
_atom_site_fract_z
Ac1 Ac 0.0000 0.0000 0.0000
Pu1 Pu 0.0000 0.0000 0.5000
Co1 Co 0.0000 0.0000 0.2059
```

***

4.
Crystalline AcPu2Co at its relaxed geometry, computed with PBE-GGA.

Results
Energy relative to the elements in eV per atom: 0.1931
Electronic total energy in eV per atom: -9.776
ΔE to the lowest computed polymorph in meV per atom: 0
V in Å³ per cell: 104.5

The structure in CIF format:
```
data_AcPu2Co
_chemical_formula_sum 'Ac1 Pu2 Co1'
_space_group_name_H-M_alt 'P 4/m m m'
_space_group_IT_number 123
_space_group_name_Hall '-P 4 2'
_cell_length_a 3.5275
_cell_length_b 3.5275
_cell_length_c 8.3944
_cell_angle_alpha 90.00
_cell_angle_beta 90.00
_cell_angle_gamma 90.00
loop_
_atom_site_label
_atom_site_type_symbol
_atom_site_fract_x
_atom_site_fract_y
_atom_site_fract_z
Ac1 Ac 0.0000 0.0000 0.0000
Pu1 Pu 0.5000 0.5000 0.3236
Co1 Co 0.0000 0.0000 0.5000
```